1.
DFT (PBE) results for crystalline Na2CrGe3Pt4 at its relaxed geometry.

Unit cell a=4.088 b=4.088 c=11.026 alpha=90.00 beta=90.00 gamma=90.00
Atoms (fractional coordinates):
1 Na 0.000 0.500 0.750
2 Na 0.500 0.000 0.250
3 Pt 0.500 0.500 0.000
4 Pt 0.500 0.000 0.641
5 Pt 0.000 0.000 0.000
6 Pt 0.000 0.500 0.359
7 Cr 0.500 0.500 0.500
8 Ge 0.000 0.500 0.138
9 Ge 0.500 0.000 0.862
10 Ge 0.000 0.000 0.500

**Magnetization**: 0.33 μB/atom
**E_tot**: -54.22 eV for the cell shown

2.
DFT (PBE) results for crystalline RbNa2CrGe at its relaxed geometry.

Unit cell a=5.887 b=4.904 c=5.887 alpha=90.00 beta=90.00 gamma=90.00
Atoms (fractional coordinates):
1 Na 0.500 0.000 0.000
2 Na 0.000 0.000 0.500
3 Cr 0.000 0.000 0.000
4 Rb 0.500 0.500 0.500
5 Ge 0.000 0.500 0.000

**Magnetization**: 0.84 μB/atom
**E_tot**: -16.11 eV for the cell shown

3.
DFT (PBE) results for crystalline NaCrGeRh at its relaxed geometry.

Unit cell a=4.283 b=4.283 c=15.569 alpha=90.00 beta=90.00 gamma=120.00
Atoms (fractional coordinates):
1 Ge 0.000 0.000 0.578
2 Ge 0.333 0.667 0.244
3 Ge 0.667 0.333 0.911
4 Rh 0.333 0.667 0.912
5 Rh 0.000 0.000 0.245
6 Rh 0.667 0.333 0.579
7 Cr 0.000 0.000 0.850
8 Cr 0.333 0.667 0.516
9 Cr 0.667 0.333 0.183
10 Na 0.667 0.333 0.382
11 Na 0.000 0.000 0.048
12 Na 0.333 0.667 0.715

**Magnetization**: 1.00 μB/atom
**Relative energy among the computed polymorphs**: 58 meV per atom
**E_tot**: -67.58 eV for the cell shown

4.
DFT (PBE) results for crystalline NaCrGeRh at its relaxed geometry.

Unit cell a=3.038 b=3.038 c=7.905 alpha=90.00 beta=90.00 gamma=90.00
Atoms (fractional coordinates):
1 Ge 0.000 0.500 0.137
2 Na 0.500 0.000 0.851
3 Rh 0.500 0.000 0.324
4 Cr 0.000 0.500 0.526

**Magnetization**: 1.05 μB/atom
**Relative energy among the computed polymorphs**: 81 meV per atom
**E_tot**: -22.43 eV for the cell shown

5.
DFT (PBE) results for crystalline NaCrGeRh at its relaxed geometry.

Unit cell a=2.835 b=2.835 c=9.137 alpha=90.00 beta=90.00 gamma=120.00
Atoms (fractional coordinates):
1 Na 0.333 0.667 0.169
2 Rh 0.667 0.333 0.451
3 Ge 0.667 0.333 0.882
4 Cr 0.000 0.000 0.661

**Magnetization**: 0.33 μB/atom
**Relative energy among the computed polymorphs**: 118 meV per atom
**E_tot**: -22.29 eV for the cell shown

6.
DFT (PBE) results for crystalline NaCrGeRh at its relaxed geometry.

Unit cell a=2.876 b=4.342 c=5.558 alpha=90.00 beta=104.95 gamma=90.00
Atoms (fractional coordinates):
1 Na 0.661 0.000 0.134
2 Cr 0.342 0.500 0.494
3 Ge 0.043 0.500 0.896
4 Rh 0.914 0.000 0.638

**Magnetization**: 0.70 μB/atom
**Relative energy among the computed polymorphs**: 124 meV per atom
**E_tot**: -22.26 eV for the cell shown